[1]
DFT (GGA-PBE) results for La3NiTeBr after structural relaxation.

Cell: 7.615 4.082 11.897 Å, 90.00 98.40 90.00°
Fractional coordinates of all 12 atoms:
1 La 0.212 0.250 0.002
2 La 0.246 0.750 0.332
3 La 0.257 0.250 0.625
4 La 0.743 0.750 0.375
5 La 0.754 0.250 0.668
6 La 0.788 0.750 0.998
7 Ni 0.499 0.750 0.554
8 Ni 0.501 0.250 0.446
9 Te 0.056 0.750 0.804
10 Te 0.944 0.250 0.196
11 Br 0.472 0.750 0.138
12 Br 0.528 0.250 0.862

Values from the calculation:
density of states at the Fermi level = 9.7 states/eV per cell
E_form (uncorrected) = -23.37 kcal/mol of atoms

---

[2]
DFT (GGA-PBE) results for LaNpBr6 after structural relaxation.

Cell: 7.469 7.469 7.250 Å, 97.87 97.87 121.02°
Fractional coordinates of all 8 atoms:
1 La 0.000 0.000 0.000
2 Np 0.500 0.500 0.500
3 Br 0.105 0.405 0.255
4 Br 0.250 0.250 0.745
5 Br 0.405 0.105 0.255
6 Br 0.595 0.895 0.745
7 Br 0.750 0.750 0.255
8 Br 0.895 0.595 0.745

Values from the calculation:
density of states at the Fermi level = 4.0 states/eV per cell
E_form (uncorrected) = -37.41 kcal/mol of atoms

---

[3]
DFT (GGA-PBE) results for La3NpBr2O6 after structural relaxation.

Cell: 7.265 7.265 5.857 Å, 100.77 100.77 57.90°
Fractional coordinates of all 12 atoms:
1 La 0.000 0.000 0.000
2 La 0.000 0.500 0.500
3 La 0.500 0.000 0.500
4 Np 0.500 0.500 0.500
5 Br 0.214 0.214 0.884
6 Br 0.786 0.786 0.116
7 O 0.191 0.680 0.696
8 O 0.320 0.809 0.304
9 O 0.338 0.338 0.352
10 O 0.662 0.662 0.648
11 O 0.680 0.191 0.696
12 O 0.809 0.320 0.304

Values from the calculation:
density of states at the Fermi level = 5.8 states/eV per cell
E_form (uncorrected) = -62.91 kcal/mol of atoms